The following is a PBE calculation of a geometry-optimized Hf2PaFe structure, from Alexandria via LeMat-Bulk.

Unit cell a=3.1707 b=3.1707 c=7.8922 alpha=90.00 beta=90.00 gamma=90.00
Closest atoms and distances in Å follow each position.
Fractional positions:
Hf (0.0000, 0.0000, 0.1949)  4 Fe 2.72
Hf (0.0000, 0.0000, 0.8051)  4 Fe 2.72
Pa (0.5000, 0.5000, 0.5000)  4 Pa 3.17, 8 Hf 3.29
Fe (0.5000, 0.5000, 0.0000)  8 Hf 2.72

mass density = 13.475 g/cm3
energy of formation = -0.059 eV per atom
ΔE to the lowest computed polymorph = 0.0 meV per atom
total moment = 0.80 μB/f.u.